#w
Density functional theory data (GGA-PBE) for crystalline PrDyY at its relaxed geometry.

The space group is C2/m (No. 12) and the conventional cell measures 11.3172, 5.9487 and 7.0213 Å, with angles of 90.00, 122.12 and 90.00 degrees. The asymmetric unit holds Pr at (0.1748, 0.0000, 0.2657), Dy at (0.0064, 0.5000, 0.7565) and Y at (0.1607, 0.0000, 0.7570).

=====

#x
Density functional theory data (GGA-PBE) for crystalline PrDyY at its relaxed geometry.

The space group is P3m1 (No. 156) and the conventional cell measures 3.6128, 3.6128 and 8.8187 Å, with angles of 90.00, 90.00 and 120.00 degrees. The asymmetric unit holds Pr at (0.0000, 0.0000, 0.0000), Dy at (0.6667, 0.3333, 0.3361) and Y at (0.3333, 0.6667, 0.6612).

=====

Least stable = #w

=====

#w
Density functional theory data (GGA-PBE) for crystalline PrDyY at its relaxed geometry.

The space group is Pmma (No. 51) and the conventional cell measures 6.4376, 3.5758 and 8.8675 Å, with angles of 90.00, 90.00 and 90.00 degrees. The asymmetric unit holds Pr at (0.2500, 0.0000, 0.1483), Dy at (0.0000, 0.0000, 0.5000) and Y at (0.2500, 0.5000, 0.8017).

=====

#x
Density functional theory data (GGA-PBE) for crystalline PrDyY at its relaxed geometry.

The space group is P-6m2 (No. 187) and the conventional cell measures 5.6856, 5.6856 and 3.5573 Å, with angles of 90.00, 90.00 and 120.00 degrees. The asymmetric unit holds Pr at (0.0000, 0.0000, 0.0000), Dy at (0.3333, 0.6667, 0.0000) and Y at (0.6667, 0.3333, 0.5000).

=====

Least stable = #w

=====

#w
Density functional theory data (GGA-PBE) for crystalline Pr3DyY7 at its relaxed geometry.

The space group is P3m1 (No. 156) and the conventional cell measures 7.1455, 7.1455 and 8.7432 Å, with angles of 90.00, 90.00 and 120.00 degrees. The asymmetric unit holds Pr at (0.0005, 0.5003, 0.0000), Dy at (0.3333, 0.6667, 0.3381), Y at (0.1676, 0.3351, 0.6619), Y at (0.3346, 0.1673, 0.3366) and Y at (0.6667, 0.3333, 0.6611).

=====

#x
Density functional theory data (GGA-PBE) for crystalline Pr3DyY7 at its relaxed geometry.

The space group is P2/m (No. 10) and the conventional cell measures 6.9874, 5.5755 and 10.1390 Å, with angles of 90.00, 108.84 and 90.00 degrees. The asymmetric unit holds Pr at (0.0000, 0.0000, 0.0000), Pr at (0.2799, 0.5000, 0.4951), Dy at (0.5000, 0.0000, 0.0000), Y at (0.0000, 0.0000, 0.5000), Y at (0.1491, 0.5000, 0.7875), Y at (0.3200, 0.5000, 0.1338) and Y at (0.4264, 0.0000, 0.3288).

=====

Least stable = #w

=====

#w
Density functional theory data (GGA-PBE) for crystalline Pr2Dy3Y8 at its relaxed geometry.

The space group is Cmmm (No. 65) and the conventional cell measures 7.6501, 20.8036 and 5.6075 Å, with angles of 90.00, 90.00 and 90.00 degrees. The asymmetric unit holds Pr at (0.0000, 0.2407, 0.0000), Dy at (0.0000, 0.0000, 0.0000), Dy at (0.2143, 0.5000, 0.5000), Y at (0.0000, 0.1293, 0.5000), Y at (0.0000, 0.3367, 0.5000) and Y at (0.2127, 0.3945, 0.0000).

=====

#x
Density functional theory data (GGA-PBE) for crystalline Pr2Dy3Y8 at its relaxed geometry.

The space group is Pbam (No. 55) and the conventional cell measures 11.7952, 20.8165 and 3.5303 Å, with angles of 90.00, 90.00 and 90.00 degrees. The asymmetric unit holds Pr at (0.1790, 0.0992, 0.0000), Dy at (0.0000, 0.0000, 0.5000), Dy at (0.1447, 0.7012, 0.5000), Y at (0.0455, 0.5716, 0.0000), Y at (0.0550, 0.8411, 0.5000), Y at (0.1291, 0.2867, 0.0000) and Y at (0.2081, 0.4467, 0.5000).

=====

Least stable = #w